A plane-wave DFT calculation with PBE was carried out for a geometry-optimized LuZr3 structure.

Computed properties:
E_form ... 71 meV/atom
Volume ... 24.3 Å³ per atom
Space group ... Pm-3m, No. 221
Electronic total energy ... -7.470 eV per atom

Cell: 4.5992 4.5992 4.5992 Å, 90.00 90.00 90.00°
Element x y z (fractional)
Lu1 0.0000 0.0000 0.0000
Zr1 0.0000 0.5000 0.5000
Zr2 0.5000 0.0000 0.5000
Zr3 0.5000 0.5000 0.0000

A plane-wave DFT calculation with PBE was carried out for a geometry-optimized Lu3Zr structure.

Computed properties:
E_form ... 28 meV/atom
Volume ... 27.6 Å³ per atom
Space group ... Imm2, No. 44
Electronic total energy ... -5.500 eV per atom

Cell: 3.4318 10.7334 5.9877 Å, 90.00 90.00 90.00°
Element x y z (fractional)
Lu1 0.0000 0.0000 0.0000
Lu2 0.0000 0.2444 0.3402
Lu3 0.0000 0.7556 0.3402
Lu4 0.5000 0.2556 0.8402
Lu5 0.5000 0.5000 0.5000
Lu6 0.5000 0.7444 0.8402
Zr1 0.0000 0.5000 0.0047
Zr2 0.5000 0.0000 0.5047

A plane-wave DFT calculation with PBE was carried out for a geometry-optimized Lu3Zr structure.

Computed properties:
E_form ... 189 meV/atom
Volume ... 27.8 Å³ per atom
Space group ... Fm-3m, No. 225
Electronic total energy ... -5.339 eV per atom

Cell: 7.6307 7.6307 7.6307 Å, 90.00 90.00 90.00°
Element x y z (fractional)
Lu1 0.0000 0.0000 0.0000
Lu2 0.0000 0.5000 0.5000
Lu3 0.2500 0.2500 0.2500
Lu4 0.2500 0.2500 0.7500
Lu5 0.2500 0.7500 0.2500
Lu6 0.2500 0.7500 0.7500
Lu7 0.5000 0.0000 0.5000
Lu8 0.5000 0.5000 0.0000
Lu9 0.7500 0.2500 0.2500
Lu10 0.7500 0.2500 0.7500
Lu11 0.7500 0.7500 0.2500
Lu12 0.7500 0.7500 0.7500
Zr1 0.0000 0.0000 0.5000
Zr2 0.0000 0.5000 0.0000
Zr3 0.5000 0.0000 0.0000
Zr4 0.5000 0.5000 0.5000

A plane-wave DFT calculation with PBE was carried out for a geometry-optimized LuZr structure.

Computed properties:
E_form ... 40 meV/atom
Volume ... 25.9 Å³ per atom
Space group ... P-6m2, No. 187
Electronic total energy ... -6.494 eV per atom

Cell: 3.3694 3.3694 5.2625 Å, 90.00 90.00 120.00°
Element x y z (fractional)
Lu1 0.0000 0.0000 0.0000
Zr1 0.6667 0.3333 0.5000

A plane-wave DFT calculation with PBE was carried out for a geometry-optimized LuZr3 structure.

Computed properties:
E_form ... 5 meV/atom
Volume ... 24.5 Å³ per atom
Space group ... P6_3/mmc, No. 194
Electronic total energy ... -7.537 eV per atom

Cell: 6.5999 6.5999 5.2003 Å, 90.00 90.00 120.00°
Element x y z (fractional)
Lu1 0.3333 0.6667 0.2500
Lu2 0.6667 0.3333 0.7500
Zr1 0.1636 0.3271 0.7500
Zr2 0.1636 0.8364 0.7500
Zr3 0.3271 0.1636 0.2500
Zr4 0.6729 0.8364 0.7500
Zr5 0.8364 0.1636 0.2500
Zr6 0.8364 0.6729 0.2500

A plane-wave DFT calculation with PBE was carried out for a geometry-optimized LuZr2 structure.

Computed properties:
E_form ... 219 meV/atom
Volume ... 26.0 Å³ per atom
Space group ... Fd-3m, No. 227
Electronic total energy ... -6.987 eV per atom

Cell: 6.0453 6.0453 6.0453 Å, 60.00 60.00 60.00°
Element x y z (fractional)
Lu1 0.1250 0.1250 0.1250
Lu2 0.8750 0.8750 0.8750
Zr1 0.0000 0.5000 0.5000
Zr2 0.5000 0.0000 0.5000
Zr3 0.5000 0.5000 0.0000
Zr4 0.5000 0.5000 0.5000

A plane-wave DFT calculation with PBE was carried out for a geometry-optimized Lu3Zr structure.

Computed properties:
E_form ... 72 meV/atom
Volume ... 27.2 Å³ per atom
Space group ... Pm-3m, No. 221
Electronic total energy ... -5.456 eV per atom

Cell: 4.7743 4.7743 4.7743 Å, 90.00 90.00 90.00°
Element x y z (fractional)
Lu1 0.0000 0.0000 0.5000
Lu2 0.0000 0.5000 0.0000
Lu3 0.5000 0.0000 0.0000
Zr1 0.5000 0.5000 0.5000

A plane-wave DFT calculation with PBE was carried out for a geometry-optimized LuZr2 structure.

Computed properties:
E_form ... 113 meV/atom
Volume ... 25.0 Å³ per atom
Space group ... I4/mmm, No. 139
Electronic total energy ... -7.093 eV per atom

Cell: 3.8033 3.8033 10.3672 Å, 90.00 90.00 90.00°
Element x y z (fractional)
Lu1 0.0000 0.0000 0.0000
Lu2 0.5000 0.5000 0.5000
Zr1 0.0000 0.0000 0.3132
Zr2 0.0000 0.0000 0.6868
Zr3 0.5000 0.5000 0.1868
Zr4 0.5000 0.5000 0.8132

A plane-wave DFT calculation with PBE was carried out for a geometry-optimized LuZr3 structure.

Computed properties:
E_form ... 10 meV/atom
Volume ... 24.5 Å³ per atom
Space group ... Pmm2, No. 25
Electronic total energy ... -7.531 eV per atom

Cell: 3.2898 5.1957 5.7386 Å, 90.00 90.00 90.00°
Element x y z (fractional)
Lu1 0.0000 0.0000 0.0000
Zr1 0.0000 0.5000 0.6643
Zr2 0.5000 0.0000 0.5014
Zr3 0.5000 0.5000 0.1799

A plane-wave DFT calculation with PBE was carried out for a geometry-optimized Lu3Zr structure.

Computed properties:
E_form ... 62 meV/atom
Volume ... 27.2 Å³ per atom
Space group ... I4/mmm, No. 139
Electronic total energy ... -5.466 eV per atom

Cell: 4.7859 4.7859 9.5073 Å, 90.00 90.00 90.00°
Element x y z (fractional)
Lu1 0.0000 0.0000 0.0000
Lu2 0.0000 0.5000 0.2500
Lu3 0.0000 0.5000 0.7500
Lu4 0.5000 0.0000 0.2500
Lu5 0.5000 0.0000 0.7500
Lu6 0.5000 0.5000 0.5000
Zr1 0.0000 0.0000 0.5000
Zr2 0.5000 0.5000 0.0000

A plane-wave DFT calculation with PBE was carried out for a geometry-optimized Lu3Zr structure.

Computed properties:
E_form ... 29 meV/atom
Volume ... 27.5 Å³ per atom
Space group ... Pmm2, No. 25
Electronic total energy ... -5.499 eV per atom

Cell: 3.4284 5.3554 5.9981 Å, 90.00 90.00 90.00°
Element x y z (fractional)
Lu1 0.0000 0.0000 0.0000
Lu2 0.0000 0.5000 0.3370
Lu3 0.5000 0.5000 0.8196
Zr1 0.5000 0.0000 0.4971

A plane-wave DFT calculation with PBE was carried out for a geometry-optimized MgMn2 structure.

Computed properties:
E_form ... 404 meV/atom
Volume ... 15.8 Å³ per atom
Space group ... Cmcm, No. 63
Electronic total energy ... -6.240 eV per atom

Cell: 2.8039 14.9163 4.5460 Å, 90.00 90.00 90.00°
Element x y z (fractional)
Mg1 0.0000 0.2106 0.2500
Mg2 0.0000 0.7894 0.7500
Mg3 0.5000 0.2894 0.7500
Mg4 0.5000 0.7106 0.2500
Mn1 0.0000 0.1048 0.7500
Mn2 0.0000 0.4528 0.7500
Mn3 0.0000 0.5472 0.2500
Mn4 0.0000 0.8952 0.2500
Mn5 0.5000 0.0472 0.2500
Mn6 0.5000 0.3952 0.2500
Mn7 0.5000 0.6048 0.7500
Mn8 0.5000 0.9528 0.7500

A plane-wave DFT calculation with PBE was carried out for a geometry-optimized Mg2Mn structure.

Computed properties:
E_form ... 269 meV/atom
Volume ... 19.5 Å³ per atom
Space group ... I4_1/amd, No. 141
Electronic total energy ... -3.851 eV per atom

Cell: 2.9749 2.9749 26.4301 Å, 90.00 90.00 90.00°
Element x y z (fractional)
Mg1 0.0000 0.2500 0.3037
Mg2 0.0000 0.2500 0.4463
Mg3 0.0000 0.7500 0.5537
Mg4 0.0000 0.7500 0.6963
Mg5 0.5000 0.2500 0.0537
Mg6 0.5000 0.2500 0.1963
Mg7 0.5000 0.7500 0.8037
Mg8 0.5000 0.7500 0.9463
Mn1 0.0000 0.2500 0.8750
Mn2 0.0000 0.7500 0.1250
Mn3 0.5000 0.2500 0.6250
Mn4 0.5000 0.7500 0.3750

A plane-wave DFT calculation with PBE was carried out for a geometry-optimized MgMn structure.

Computed properties:
E_form ... 326 meV/atom
Volume ... 17.8 Å³ per atom
Space group ... P2_12_12_1, No. 19
Electronic total energy ... -5.056 eV per atom

Cell: 5.3923 7.0348 7.5072 Å, 90.00 90.00 90.00°
Element x y z (fractional)
Mg1 0.0594 0.1975 0.4710
Mg2 0.1634 0.5530 0.6829
Mg3 0.3366 0.4470 0.1829
Mg4 0.4406 0.8025 0.9710
Mg5 0.5594 0.3025 0.5290
Mg6 0.6634 0.9470 0.3171
Mg7 0.8366 0.0530 0.8171
Mg8 0.9406 0.6975 0.0290
Mn1 0.1492 0.0658 0.1388
Mn2 0.1756 0.8038 0.3617
Mn3 0.3244 0.1962 0.8617
Mn4 0.3508 0.9342 0.6388
Mn5 0.6492 0.4342 0.8612
Mn6 0.6756 0.6962 0.6383
Mn7 0.8244 0.3038 0.1383
Mn8 0.8508 0.5658 0.3612

A plane-wave DFT calculation with PBE was carried out for a geometry-optimized Mg7Mn structure.

Computed properties:
E_form ... 116 meV/atom
Volume ... 21.4 Å³ per atom
Space group ... Fm-3m, No. 225
Electronic total energy ... -2.426 eV per atom

Cell: 6.2367 6.2367 6.2367 Å, 60.00 60.00 60.00°
Element x y z (fractional)
Mg1 0.0000 0.0000 0.0000
Mg2 0.0000 0.0000 0.5000
Mg3 0.0000 0.5000 0.0000
Mg4 0.0000 0.5000 0.5000
Mg5 0.5000 0.0000 0.0000
Mg6 0.5000 0.0000 0.5000
Mg7 0.5000 0.5000 0.0000
Mn1 0.5000 0.5000 0.5000

A plane-wave DFT calculation with PBE was carried out for a geometry-optimized MgMn structure.

Computed properties:
E_form ... 344 meV/atom
Volume ... 17.7 Å³ per atom
Space group ... P4/m, No. 83
Electronic total energy ... -5.038 eV per atom

Cell: 8.2862 8.2862 4.1282 Å, 90.00 90.00 90.00°
Element x y z (fractional)
Mg1 0.0890 0.6466 0.0000
Mg2 0.1400 0.2476 0.5000
Mg3 0.2476 0.8600 0.5000
Mg4 0.3534 0.0890 0.0000
Mg5 0.6466 0.9110 0.0000
Mg6 0.7524 0.1400 0.5000
Mg7 0.8600 0.7524 0.5000
Mg8 0.9110 0.3534 0.0000
Mn1 0.3082 0.5347 0.5000
Mn2 0.3202 0.4184 0.0000
Mn3 0.4184 0.6798 0.0000
Mn4 0.4653 0.3082 0.5000
Mn5 0.5347 0.6918 0.5000
Mn6 0.5816 0.3202 0.0000
Mn7 0.6798 0.5816 0.0000
Mn8 0.6918 0.4653 0.5000

A plane-wave DFT calculation with PBE was carried out for a geometry-optimized MgMn3 structure.

Computed properties:
E_form ... 313 meV/atom
Volume ... 14.4 Å³ per atom
Space group ... Pmm2, No. 25
Electronic total energy ... -6.962 eV per atom

Cell: 2.7440 4.4852 4.6742 Å, 90.00 90.00 90.00°
Element x y z (fractional)
Mg1 0.0000 0.0000 0.0000
Mn1 0.0000 0.5000 0.3783
Mn2 0.5000 0.0000 0.4964
Mn3 0.5000 0.5000 0.8540

A plane-wave DFT calculation with PBE was carried out for a geometry-optimized Mg2Mn structure.

Computed properties:
E_form ... 259 meV/atom
Volume ... 19.2 Å³ per atom
Space group ... P-62m, No. 189
Electronic total energy ... -3.860 eV per atom

Cell: 8.1788 8.1788 2.9890 Å, 90.00 90.00 120.00°
Element x y z (fractional)
Mg1 0.0000 0.2999 0.0000
Mg2 0.0000 0.6317 0.5000
Mg3 0.2999 0.0000 0.0000
Mg4 0.3683 0.3683 0.5000
Mg5 0.6317 0.0000 0.5000
Mg6 0.7001 0.7001 0.0000
Mn1 0.0000 0.0000 0.5000
Mn2 0.3333 0.6667 0.0000
Mn3 0.6667 0.3333 0.0000

A plane-wave DFT calculation with PBE was carried out for a geometry-optimized MgMn4 structure.

Computed properties:
E_form ... 1541 meV/atom
Volume ... 20.1 Å³ per atom
Space group ... Pm-3m, No. 221
Electronic total energy ... -6.114 eV per atom

Cell: 4.6527 4.6527 4.6527 Å, 90.00 90.00 90.00°
Element x y z (fractional)
Mg1 0.0000 0.0000 0.0000
Mn1 0.0000 0.0000 0.5000
Mn2 0.0000 0.5000 0.0000
Mn3 0.5000 0.0000 0.0000
Mn4 0.5000 0.5000 0.5000

A plane-wave DFT calculation with PBE was carried out for a geometry-optimized MgMn2 structure.

Computed properties:
E_form ... 481 meV/atom
Volume ... 15.2 Å³ per atom
Space group ... Imma, No. 74
Electronic total energy ... -6.163 eV per atom

Cell: 2.7533 4.5324 14.6264 Å, 90.00 90.00 90.00°
Element x y z (fractional)
Mg1 0.0000 0.2500 0.1373
Mg2 0.0000 0.7500 0.8627
Mg3 0.5000 0.2500 0.3627
Mg4 0.5000 0.7500 0.6373
Mn1 0.0000 0.2500 0.5428
Mn2 0.0000 0.2500 0.6927
Mn3 0.0000 0.7500 0.3073
Mn4 0.0000 0.7500 0.4572
Mn5 0.5000 0.2500 0.8073
Mn6 0.5000 0.2500 0.9572
Mn7 0.5000 0.7500 0.0428
Mn8 0.5000 0.7500 0.1927

A plane-wave DFT calculation with PBE was carried out for a geometry-optimized MgMn structure.

Computed properties:
E_form ... 235 meV/atom
Volume ... 16.8 Å³ per atom
Space group ... Cmmm, No. 65
Electronic total energy ... -5.147 eV per atom

Cell: 4.7088 13.8001 3.1077 Å, 90.00 90.00 90.00°
Element x y z (fractional)
Mg1 0.0000 0.0000 0.0000
Mg2 0.0000 0.1824 0.5000
Mg3 0.0000 0.8176 0.5000
Mg4 0.5000 0.3176 0.5000
Mg5 0.5000 0.5000 0.0000
Mg6 0.5000 0.6824 0.5000
Mn1 0.0000 0.3603 0.0000
Mn2 0.0000 0.5000 0.5000
Mn3 0.0000 0.6397 0.0000
Mn4 0.5000 0.0000 0.5000
Mn5 0.5000 0.1397 0.0000
Mn6 0.5000 0.8603 0.0000

A plane-wave DFT calculation with PBE was carried out for a geometry-optimized Mg3Mn5 structure.

Computed properties:
E_form ... 368 meV/atom
Volume ... 16.0 Å³ per atom
Space group ... Cmmm, No. 65
Electronic total energy ... -5.961 eV per atom

Cell: 7.8682 8.0996 4.0129 Å, 90.00 90.00 90.00°
Element x y z (fractional)
Mg1 0.0000 0.0000 0.0000
Mg2 0.0000 0.2590 0.5000
Mg3 0.0000 0.7410 0.5000
Mg4 0.5000 0.2410 0.5000
Mg5 0.5000 0.5000 0.0000
Mg6 0.5000 0.7590 0.5000
Mn1 0.0000 0.5000 0.0000
Mn2 0.2420 0.5000 0.5000
Mn3 0.2500 0.2500 0.0000
Mn4 0.2500 0.7500 0.0000
Mn5 0.2580 0.0000 0.5000
Mn6 0.5000 0.0000 0.0000
Mn7 0.7420 0.0000 0.5000
Mn8 0.7500 0.2500 0.0000
Mn9 0.7500 0.7500 0.0000
Mn10 0.7580 0.5000 0.5000

A plane-wave DFT calculation with PBE was carried out for a geometry-optimized MgMn structure.

Computed properties:
E_form ... 347 meV/atom
Volume ... 17.5 Å³ per atom
Space group ... I4_1/amd, No. 141
Electronic total energy ... -5.035 eV per atom

Cell: 4.0896 4.0896 8.3755 Å, 90.00 90.00 90.00°
Element x y z (fractional)
Mg1 0.0000 0.2500 0.3750
Mg2 0.0000 0.7500 0.6250
Mg3 0.5000 0.2500 0.1250
Mg4 0.5000 0.7500 0.8750
Mn1 0.0000 0.2500 0.8750
Mn2 0.0000 0.7500 0.1250
Mn3 0.5000 0.2500 0.6250
Mn4 0.5000 0.7500 0.3750

A plane-wave DFT calculation with PBE was carried out for a geometry-optimized MgMn structure.

Computed properties:
E_form ... 316 meV/atom
Volume ... 17.5 Å³ per atom
Space group ... P6_3/mmc, No. 194
Electronic total energy ... -5.067 eV per atom

Cell: 4.1800 4.1800 9.2458 Å, 90.00 90.00 120.00°
Element x y z (fractional)
Mg1 0.3333 0.6667 0.0865
Mg2 0.3333 0.6667 0.4135
Mg3 0.6667 0.3333 0.5865
Mg4 0.6667 0.3333 0.9135
Mn1 0.0000 0.0000 0.2500
Mn2 0.0000 0.0000 0.7500
Mn3 0.3333 0.6667 0.7500
Mn4 0.6667 0.3333 0.2500

A plane-wave DFT calculation with PBE was carried out for a geometry-optimized Mg15Mn structure.

Computed properties:
E_form ... 44 meV/atom
Volume ... 22.1 Å³ per atom
Space group ... P-6m2, No. 187
Electronic total energy ... -2.024 eV per atom

Cell: 6.3109 6.3109 10.2517 Å, 90.00 90.00 120.00°
Element x y z (fractional)
Mg1 0.0000 0.0000 0.0000
Mg2 0.0024 0.5012 0.0000
Mg3 0.1631 0.3262 0.2593
Mg4 0.1631 0.3262 0.7407
Mg5 0.1631 0.8369 0.2593
Mg6 0.1631 0.8369 0.7407
Mg7 0.4988 0.5012 0.0000
Mg8 0.4988 0.9976 0.0000
Mg9 0.5008 0.0016 0.5000
Mg10 0.5008 0.4992 0.5000
Mg11 0.6667 0.3333 0.2496
Mg12 0.6667 0.3333 0.7504
Mg13 0.6738 0.8369 0.2593
Mg14 0.6738 0.8369 0.7407
Mg15 0.9984 0.4992 0.5000
Mn1 0.0000 0.0000 0.5000

A plane-wave DFT calculation with PBE was carried out for a geometry-optimized Mg8Mn structure.

Computed properties:
E_form ... 91 meV/atom
Volume ... 21.6 Å³ per atom
Space group ... I4/mmm, No. 139
Electronic total energy ... -2.345 eV per atom

Cell: 7.0438 7.0438 7.0438 Å, 95.43 95.43 144.18°
Element x y z (fractional)
Mg1 0.0000 0.3276 0.3276
Mg2 0.0000 0.6724 0.6724
Mg3 0.3276 0.0000 0.3276
Mg4 0.3397 0.3397 0.6794
Mg5 0.3397 0.6603 0.0000
Mg6 0.6603 0.3397 0.0000
Mg7 0.6603 0.6603 0.3206
Mg8 0.6724 0.0000 0.6724
Mn1 0.0000 0.0000 0.0000